[1]
Entry from Alexandria via LeMat-Bulk: a geometry-optimized HfScAu structure (GGA-PBE).

Results
DOS at the Fermi energy: 0.7 states/eV/cell
Relative energy among the computed polymorphs: 17 meV/atom
Energy relative to the elements: -1.38 eV per formula unit
Raw total energy: -6.982 eV/atom
Total magnetic moment: 0.00 μB/atom

Cell and atoms, written as CIF:
```
data_HfScAu
_chemical_formula_sum 'Hf4 Sc4 Au4'
_cell_length_a 6.606
_cell_length_b 4.676
_cell_length_c 8.262
_cell_angle_alpha 90.00
_cell_angle_beta 90.00
_cell_angle_gamma 90.00
_space_group_name_H-M_alt 'P n m a'
_space_group_IT_number 62
loop_
_space_group_symop_operation_xyz
'x,y,z'
'-x,-y,-z'
'-x+1/2,-y,z+1/2'
'x+1/2,y,-z+1/2'
'x+1/2,-y+1/2,-z+1/2'
'-x+1/2,y+1/2,z+1/2'
'-x,y+1/2,-z'
'x,-y+1/2,z'
loop_
_atom_site_label
_atom_site_fract_x
_atom_site_fract_y
_atom_site_fract_z
Hf1 0.169 0.250 0.078
Sc1 0.013 0.250 0.694
Au1 0.248 0.750 0.904
```

[2]
Entry from Alexandria via LeMat-Bulk: a geometry-optimized CsTiH2Br structure (GGA-PBE).

Results
DOS at the Fermi energy: 2.9 states/eV/cell
Raw total energy: -2.104 eV/atom
Total magnetic moment: 0.77 μB/atom

Cell and atoms, written as CIF:
```
data_CsTiH2Br
_chemical_formula_sum 'Cs1 Ti1 H2 Br1'
_cell_length_a 4.510
_cell_length_b 4.510
_cell_length_c 6.794
_cell_angle_alpha 90.00
_cell_angle_beta 90.00
_cell_angle_gamma 90.00
_space_group_name_H-M_alt 'P 4/m m m'
_space_group_IT_number 123
_space_group_name_Hall '-P 4 2'
loop_
_atom_site_label
_atom_site_fract_x
_atom_site_fract_y
_atom_site_fract_z
Cs1 0.000 0.000 0.000
Ti1 0.500 0.500 0.000
H1 0.000 0.500 0.500
Br1 0.000 0.000 0.500
```

[3]
Entry from Alexandria via LeMat-Bulk: a geometry-optimized TlTc2P structure (GGA-PBE).

Results
DOS at the Fermi energy: 4.0 states/eV/cell
Relative energy among the computed polymorphs: 148 meV/atom
Energy relative to the elements: 0.77 eV per formula unit
Raw total energy: -6.935 eV/atom
Total magnetic moment: 0.00 μB/atom

Cell and atoms, written as CIF:
```
data_TlTc2P
_chemical_formula_sum 'Tl1 Tc2 P1'
_cell_length_a 3.149
_cell_length_b 3.149
_cell_length_c 6.740
_cell_angle_alpha 90.00
_cell_angle_beta 90.00
_cell_angle_gamma 90.00
_space_group_name_H-M_alt 'P 4 m m'
_space_group_IT_number 99
loop_
_space_group_symop_operation_xyz
'x,y,z'
'-y,x,z'
'-x,-y,z'
'y,-x,z'
'-x,y,z'
'y,x,z'
'x,-y,z'
'-y,-x,z'
loop_
_atom_site_label
_atom_site_fract_x
_atom_site_fract_y
_atom_site_fract_z
Tl1 0.000 0.000 0.000
Tc1 0.000 0.000 0.471
Tc2 0.500 0.500 0.719
P1 0.500 0.500 0.328
```

[4]
Entry from Alexandria via LeMat-Bulk: a geometry-optimized NdTh2In structure (GGA-PBE).

Results
DOS at the Fermi energy: 9.1 states/eV/cell
Relative energy among the computed polymorphs: 23 meV/atom
Energy relative to the elements: -0.64 eV per formula unit
Raw total energy: -5.747 eV/atom
Total magnetic moment: 0.00 μB/atom

Cell and atoms, written as CIF:
```
data_NdTh2In
_chemical_formula_sum 'Nd2 Th4 In2'
_cell_length_a 4.796
_cell_length_b 4.739
_cell_length_c 11.640
_cell_angle_alpha 90.00
_cell_angle_beta 101.87
_cell_angle_gamma 90.00
_space_group_name_H-M_alt 'P 1 21/m 1'
_space_group_IT_number 11
loop_
_space_group_symop_operation_xyz
'x,y,z'
'-x,-y,-z'
'-x,y+1/2,-z'
'x,-y+1/2,z'
loop_
_atom_site_label
_atom_site_fract_x
_atom_site_fract_y
_atom_site_fract_z
Nd1 0.194 0.250 0.388
Th1 0.060 0.750 0.120
Th2 0.441 0.750 0.883
In1 0.335 0.250 0.670
```

[5]
Entry from Alexandria via LeMat-Bulk: a geometry-optimized Na2CaNi structure (GGA-PBE).

Results
DOS at the Fermi energy: 7.8 states/eV/cell
Relative energy among the computed polymorphs: 0 meV/atom
Energy relative to the elements: 1.29 eV per formula unit
Raw total energy: -2.284 eV/atom
Total magnetic moment: 0.00 μB/atom

Cell and atoms, written as CIF:
```
data_Na2CaNi
_chemical_formula_sum 'Na8 Ca4 Ni4'
_cell_length_a 4.195
_cell_length_b 4.195
_cell_length_c 23.519
_cell_angle_alpha 90.00
_cell_angle_beta 90.00
_cell_angle_gamma 90.00
_space_group_name_H-M_alt 'I -4 2 d'
_space_group_IT_number 122
_space_group_name_Hall 'I -4 2bw'
loop_
_atom_site_label
_atom_site_fract_x
_atom_site_fract_y
_atom_site_fract_z
Na1 0.222 0.250 0.125
Ca1 0.000 0.000 0.500
Ni1 0.000 0.000 0.000
```